1.
# SCAN RbTi3Tl, single point on PBEsol structure
data_RbTi3Tl
_cell_length_a 5.345
_cell_length_b 5.345
_cell_length_c 5.345
_cell_angle_alpha 90.00
_cell_angle_beta 90.00
_cell_angle_gamma 90.00
_space_group_name_H-M_alt 'P m -3 m'
_space_group_IT_number 221
_space_group_name_Hall '-P 4 2 3'
loop_
_atom_site_label
_atom_site_type_symbol
_atom_site_fract_x
_atom_site_fract_y
_atom_site_fract_z
Rb1 Rb 0.000 0.000 0.000
Ti1 Ti 0.000 0.500 0.500
Tl1 Tl 0.500 0.500 0.500
# Total moment in μB per formula unit: 7.86

2.
# SCAN Rb2TiTl, single point on PBEsol structure
data_Rb2TiTl
_cell_length_a 8.626
_cell_length_b 8.626
_cell_length_c 8.626
_cell_angle_alpha 90.00
_cell_angle_beta 90.00
_cell_angle_gamma 90.00
_space_group_name_H-M_alt 'F m -3 m'
_space_group_IT_number 225
_space_group_name_Hall '-F 4 2 3'
loop_
_atom_site_label
_atom_site_type_symbol
_atom_site_fract_x
_atom_site_fract_y
_atom_site_fract_z
Rb1 Rb 0.250 0.250 0.250
Ti1 Ti 0.000 0.000 0.000
Tl1 Tl 0.000 0.000 0.500
# Total moment in μB per formula unit: 4.76

3.
# SCAN RbY2Ti, single point on PBEsol structure
data_RbY2Ti
_cell_length_a 7.830
_cell_length_b 7.830
_cell_length_c 7.830
_cell_angle_alpha 90.00
_cell_angle_beta 90.00
_cell_angle_gamma 90.00
_space_group_name_H-M_alt 'F m -3 m'
_space_group_IT_number 225
_space_group_name_Hall '-F 4 2 3'
loop_
_atom_site_label
_atom_site_type_symbol
_atom_site_fract_x
_atom_site_fract_y
_atom_site_fract_z
Rb1 Rb 0.000 0.000 0.000
Y1 Y 0.250 0.250 0.250
Ti1 Ti 0.000 0.000 0.500
# Total moment in μB per formula unit: 4.50

4.
# SCAN RbZrTi2, single point on PBEsol structure
data_RbZrTi2
_cell_length_a 7.057
_cell_length_b 7.057
_cell_length_c 7.057
_cell_angle_alpha 90.00
_cell_angle_beta 90.00
_cell_angle_gamma 90.00
_space_group_name_H-M_alt 'F m -3 m'
_space_group_IT_number 225
_space_group_name_Hall '-F 4 2 3'
loop_
_atom_site_label
_atom_site_type_symbol
_atom_site_fract_x
_atom_site_fract_y
_atom_site_fract_z
Rb1 Rb 0.000 0.000 0.000
Zr1 Zr 0.000 0.000 0.500
Ti1 Ti 0.250 0.250 0.250
# Total moment in μB per formula unit: 0.00

5.
# SCAN Rb2ZrTi, single point on PBEsol structure
data_Rb2ZrTi
_cell_length_a 8.199
_cell_length_b 8.199
_cell_length_c 8.199
_cell_angle_alpha 90.00
_cell_angle_beta 90.00
_cell_angle_gamma 90.00
_space_group_name_H-M_alt 'F m -3 m'
_space_group_IT_number 225
_space_group_name_Hall '-F 4 2 3'
loop_
_atom_site_label
_atom_site_type_symbol
_atom_site_fract_x
_atom_site_fract_y
_atom_site_fract_z
Rb1 Rb 0.250 0.250 0.250
Zr1 Zr 0.000 0.000 0.000
Ti1 Ti 0.000 0.000 0.500
# Total moment in μB per formula unit: 0.19

6.
# SCAN Rb5Tl9, single point on PBEsol structure
data_Rb5Tl9
_cell_length_a 10.2389
_cell_length_b 10.2389
_cell_length_c 17.5743
_cell_angle_alpha 90.00
_cell_angle_beta 90.00
_cell_angle_gamma 120.00
_space_group_name_H-M_alt 'P -6 2 m'
_space_group_IT_number 189
_space_group_name_Hall 'P -6 -2'
loop_
_atom_site_label
_atom_site_type_symbol
_atom_site_fract_x
_atom_site_fract_y
_atom_site_fract_z
Rb1 Rb 0.0000 0.0000 0.0000
Rb2 Rb 0.0000 0.2699 0.1868
Rb3 Rb 0.0000 0.6126 0.3147
Rb4 Rb 0.3333 0.6667 0.5000
Tl1 Tl 0.0000 0.0000 0.3513
Tl2 Tl 0.0000 0.2870 0.4089
Tl3 Tl 0.0000 0.6208 0.1019
Tl4 Tl 0.0000 0.7859 0.5000
Tl5 Tl 0.1727 0.4627 0.0000
Tl6 Tl 0.3333 0.6667 0.1560
# Total moment in μB per formula unit: 0.00

7.
# SCAN RbYTl2, single point on PBEsol structure
data_RbYTl2
_cell_length_a 7.912
_cell_length_b 7.912
_cell_length_c 7.912
_cell_angle_alpha 90.00
_cell_angle_beta 90.00
_cell_angle_gamma 90.00
_space_group_name_H-M_alt 'F m -3 m'
_space_group_IT_number 225
_space_group_name_Hall '-F 4 2 3'
loop_
_atom_site_label
_atom_site_type_symbol
_atom_site_fract_x
_atom_site_fract_y
_atom_site_fract_z
Rb1 Rb 0.000 0.000 0.000
Y1 Y 0.000 0.000 0.500
Tl1 Tl 0.250 0.250 0.250
# Total moment in μB per formula unit: 0.00

8.
# SCAN RbTl2Zn, single point on PBEsol structure
data_RbTl2Zn
_cell_length_a 7.675
_cell_length_b 7.675
_cell_length_c 7.675
_cell_angle_alpha 90.00
_cell_angle_beta 90.00
_cell_angle_gamma 90.00
_space_group_name_H-M_alt 'F m -3 m'
_space_group_IT_number 225
_space_group_name_Hall '-F 4 2 3'
loop_
_atom_site_label
_atom_site_type_symbol
_atom_site_fract_x
_atom_site_fract_y
_atom_site_fract_z
Rb1 Rb 0.000 0.000 0.000
Tl1 Tl 0.250 0.250 0.250
Zn1 Zn 0.000 0.000 0.500
# Total moment in μB per formula unit: 0.00

no.,DFT formation energy (eV/f.u.),E_tot (eV/atom)
1,5.55,-27.127
2,3.12,-31.686
3,3.32,-22.285
4,5.35,-19.537
5,7.06,-20.286
6,-2.99,-54.137
7,-0.53,-48.458
8,0.64,-44.584